# Li2PrCu9, optimized geometry, DFT PBE
# Formation enthalpy at 0 K   -0.11 eV/atom
# Distance to the lowest polymorph of the same formula   7 meV/atom
# D(E_F)   4.87 states/eV per cell
data_Li2PrCu9
_chemical_formula_sum 'Li2 Pr1 Cu9'
_symmetry_space_group_name_H-M 'P 1'
_symmetry_Int_Tables_number 1
_cell_length_a 8.6141
_cell_length_b 8.6141
_cell_length_c 8.6141
_cell_angle_alpha 33.99
_cell_angle_beta 33.99
_cell_angle_gamma 33.99
loop_
_symmetry_equiv_pos_as_xyz
'x,y,z'
loop_
_atom_site_label
_atom_site_type_symbol
_atom_site_fract_x
_atom_site_fract_y
_atom_site_fract_z
Li1 Li 0.1488 0.1488 0.1488
Li2 Li 0.8512 0.8512 0.8512
Pr1 Pr 0.0000 0.0000 0.0000
Cu1 Cu 0.0839 0.5861 0.5861
Cu2 Cu 0.3326 0.3326 0.3326
Cu3 Cu 0.4139 0.4139 0.9161
Cu4 Cu 0.4139 0.9161 0.4139
Cu5 Cu 0.5000 0.5000 0.5000
Cu6 Cu 0.5861 0.0839 0.5861
Cu7 Cu 0.5861 0.5861 0.0839
Cu8 Cu 0.6674 0.6674 0.6674
Cu9 Cu 0.9161 0.4139 0.4139